Entry 1:
Al2TlNi | GGA-PBE | relaxed

The total magnetization is 0.000 μB/cell. For the density of states at the Fermi level, the calculation gives 8.03 states/eV/cell. The calculation puts the polymorph energy (0 for the lowest one) at 314 meV per atom. The value obtained for the energy of formation is 0.22 eV/atom. The calculation puts the density at 6.80 g cm⁻³.

The space group is I-42d (No. 122) and the conventional cell measures 4.2592, 4.2592 and 17.0628 Å, with angles of 90.00, 90.00 and 90.00 degrees. The asymmetric unit holds Al at (0.1836, 0.2500, 0.1250), Tl at (0.0000, 0.0000, 0.5000) and Ni at (0.0000, 0.0000, 0.0000).


Entry 2:
Al2TlNi | GGA-PBE | relaxed

The total magnetization is 0.000 μB/cell. For the density of states at the Fermi level, the calculation gives 1.51 states/eV/cell. The calculation puts the polymorph energy (0 for the lowest one) at 137 meV per atom. The value obtained for the energy of formation is 0.04 eV/atom. The calculation puts the density at 7.20 g cm⁻³.

The space group is Pmm2 (No. 25) and the conventional cell measures 3.0021, 3.4632 and 7.0312 Å, with angles of 90.00, 90.00 and 90.00 degrees. The asymmetric unit holds Al at (0.0000, 0.0000, 0.0000), Al at (0.5000, 0.5000, 0.2372), Tl at (0.5000, 0.5000, 0.6721) and Ni at (0.0000, 0.0000, 0.3623).


Entry 3:
AlTl3Ni | GGA-PBE | relaxed

The total magnetization is 0.000 μB/cell. For the density of states at the Fermi level, the calculation gives 6.06 states/eV/cell. The calculation puts the polymorph energy (0 for the lowest one) at 509 meV per atom. The value obtained for the energy of formation is 0.84 eV/atom. The calculation puts the density at 7.60 g cm⁻³.

The space group is Pm-3m (No. 221) and the conventional cell measures 5.3445, 5.3445 and 5.3445 Å, with angles of 90.00, 90.00 and 90.00 degrees. The asymmetric unit holds Al at (0.0000, 0.0000, 0.0000), Tl at (0.0000, 0.0000, 0.5000) and Ni at (0.5000, 0.5000, 0.5000).


Entry 4:
AlTlNi2 | GGA-PBE | relaxed

The total magnetization is 0.000 μB/cell. For the density of states at the Fermi level, the calculation gives 7.61 states/eV/cell. The calculation puts the polymorph energy (0 for the lowest one) at 106 meV per atom. The value obtained for the energy of formation is -0.02 eV/atom. The calculation puts the density at 9.98 g cm⁻³.

The space group is Fm-3m (No. 225) and the conventional cell measures 6.1455, 6.1455 and 6.1455 Å, with angles of 90.00, 90.00 and 90.00 degrees. The asymmetric unit holds Al at (0.0000, 0.0000, 0.0000), Tl at (0.0000, 0.0000, 0.5000) and Ni at (0.2500, 0.2500, 0.2500).


Among the records above, which one has the highest energy of formation? AlTl3Ni


What is the formula in the fourth record? AlTlNi2


Among the records above, which one has the highest energy of formation? AlTl3Ni